Material: In2CoSe
Method: DFT, GGA-PBE
State: relaxed

Values from the calculation:
**Raw formation energy**: 0.01 eV per atom
**Density of states at the Fermi level**: 0.689 states/eV/atom
**Symmetry**: Imm2, No. 44

The structure in CIF format:
```
data_In2CoSe
_chemical_formula_sum 'In2 Co1 Se1'
_cell_length_a 6.8302
_cell_length_b 6.8302
_cell_length_c 6.8302
_cell_angle_alpha 153.54
_cell_angle_beta 142.85
_cell_angle_gamma 46.19
_symmetry_space_group_name_H-M 'P 1'
_symmetry_Int_Tables_number 1
_symmetry_space_group_name_Hall 'P 1'
loop_
_atom_site_label
_atom_site_fract_x
_atom_site_fract_y
_atom_site_fract_z
In1 0.9355 0.9355 0.0000
In2 0.2542 0.7542 0.5000
Co1 0.7243 0.2243 0.5000
Se1 0.5860 0.5860 0.0000
```